VASP calculation (PBE) on a geometry-optimized HgPbSeO structure.

Computed properties:
energy above the lowest structure with this stoichiometry	12	meV per atom

Unit cell a=7.318 b=7.904 c=6.786 alpha=90.00 beta=90.00 gamma=90.00
Element x y z (fractional)
Hg 0.919 0.362 0.053
Hg 0.419 0.638 0.053
Hg 0.581 0.362 0.553
Hg 0.081 0.638 0.553
O 0.995 0.091 0.129
O 0.495 0.909 0.129
O 0.505 0.091 0.629
O 0.005 0.909 0.629
Pb 0.161 0.085 0.427
Pb 0.661 0.915 0.427
Pb 0.339 0.085 0.927
Pb 0.839 0.915 0.927
Se 0.553 0.344 0.142
Se 0.053 0.656 0.142
Se 0.947 0.344 0.642
Se 0.447 0.656 0.642